Entry from Alexandria via LeMat-Bulk: a relaxed Ca2Pm2Y crystal (GGA-PBE).

* excess energy over the best structure of this formula in the dataset: 348 meV/atom
* formation energy: 8.780 kcal/mol of atoms
* E_tot: -3.613 eV per atom

Geometry as CIF:
```
data_Ca2Pm2Y
_cell_length_a 4.6299
_cell_length_b 4.6299
_cell_length_c 17.5081
_cell_angle_alpha 90.00
_cell_angle_beta 90.00
_cell_angle_gamma 90.00
_space_group_name_H-M_alt 'I 4/m m m'
_space_group_IT_number 139
_space_group_name_Hall '-I 4 2'
loop_
_atom_site_label
_atom_site_fract_x
_atom_site_fract_y
_atom_site_fract_z
_atom_site_occupancy
Ca1 0.0000 0.5000 0.2500 1
Pm1 0.0000 0.0000 0.0885 1
Y1 0.0000 0.0000 0.5000 1
```

=====

Entry from Alexandria via LeMat-Bulk: a relaxed LiPm4DySe8 crystal (GGA-PBE).

* ΔE_f (raw): -1.699 eV per atom
* E_tot: -5.513 eV per atom

Geometry as CIF:
```
data_LiPm4DySe8
_cell_length_a 8.6367
_cell_length_b 8.6367
_cell_length_c 20.4165
_cell_angle_alpha 90.00
_cell_angle_beta 90.00
_cell_angle_gamma 120.00
_space_group_name_H-M_alt 'R 3 m'
_space_group_IT_number 160
_space_group_name_Hall 'R 3 -2"'
loop_
_atom_site_label
_atom_site_fract_x
_atom_site_fract_y
_atom_site_fract_z
_atom_site_occupancy
Li1 0.0000 0.0000 0.0000 1
Pm1 0.0000 0.0000 0.6160 1
Pm2 0.0011 0.5005 0.5010 1
Dy1 0.0000 0.0000 0.3826 1
Se1 0.0000 0.0000 0.2468 1
Se2 0.0000 0.0000 0.7554 1
Se3 0.0167 0.5084 0.7536 1
Se4 0.1818 0.3636 0.5847 1
```

=====

Entry from Alexandria via LeMat-Bulk: a relaxed CePm2Dy5 crystal (GGA-PBE).

* excess energy over the best structure of this formula in the dataset: 0 meV/atom
* formation energy: 0.985 kcal/mol of atoms
* E_tot: -4.763 eV per atom

Geometry as CIF:
```
data_CePm2Dy5
_cell_length_a 7.1317
_cell_length_b 14.2718
_cell_length_c 5.0514
_cell_angle_alpha 90.00
_cell_angle_beta 90.00
_cell_angle_gamma 90.00
_space_group_name_H-M_alt 'P b a m'
_space_group_IT_number 55
_space_group_name_Hall '-P 2 2ab'
loop_
_atom_site_label
_atom_site_fract_x
_atom_site_fract_y
_atom_site_fract_z
_atom_site_occupancy
Ce1 0.0000 0.0000 0.0000 1
Pm1 0.2477 0.1237 0.5000 1
Dy1 0.0000 0.5000 0.0000 1
Dy2 0.0029 0.2497 0.0000 1
Dy3 0.2442 0.8763 0.5000 1
```

=====

Entry from Alexandria via LeMat-Bulk: a relaxed HoSc2USb4 crystal (GGA-PBE).

* ΔE_f (raw): -0.783 eV per atom
* E_tot: -6.410 eV per atom

Geometry as CIF:
```
data_HoSc2USb4
_cell_length_a 7.3814
_cell_length_b 4.2548
_cell_length_c 7.4148
_cell_angle_alpha 90.00
_cell_angle_beta 109.18
_cell_angle_gamma 90.00
_space_group_name_H-M_alt 'P 1 2/m 1'
_space_group_IT_number 10
_space_group_name_Hall '-P 2y'
loop_
_atom_site_label
_atom_site_fract_x
_atom_site_fract_y
_atom_site_fract_z
_atom_site_occupancy
Ho1 0.0000 0.0000 0.0000 1
Sc1 0.0000 0.5000 0.5000 1
Sc2 0.5000 0.0000 0.5000 1
U1 0.5000 0.5000 0.0000 1
Sb1 0.2436 0.0000 0.7341 1
Sb2 0.2550 0.5000 0.2635 1
```

=====

Entry from Alexandria via LeMat-Bulk: a relaxed Tb2NdSm3Ho6 crystal (GGA-PBE).

* formation energy: 0.350 kcal/mol of atoms
* E_tot: -4.623 eV per atom

Geometry as CIF:
```
data_Tb2NdSm3Ho6
_cell_length_a 6.1877
_cell_length_b 10.7116
_cell_length_c 11.7847
_cell_angle_alpha 90.00
_cell_angle_beta 100.04
_cell_angle_gamma 90.00
_space_group_name_H-M_alt 'C 1 2/m 1'
_space_group_IT_number 12
_space_group_name_Hall '-C 2y'
loop_
_atom_site_label
_atom_site_fract_x
_atom_site_fract_y
_atom_site_fract_z
_atom_site_occupancy
Tb1 0.0000 0.1667 0.0000 1
Nd1 0.0000 0.5000 0.0000 1
Sm1 0.0000 0.0000 0.5000 1
Sm2 0.0000 0.3333 0.5000 1
Ho1 0.2493 0.1669 0.7506 1
Ho2 0.2499 0.0000 0.2493 1
```

=====

Entry from Alexandria via LeMat-Bulk: a relaxed SmY2NpO8 crystal (GGA-PBE).

* ΔE_f (raw): -3.165 eV per atom
* E_tot: -9.019 eV per atom

Geometry as CIF:
```
data_SmY2NpO8
_cell_length_a 3.9068
_cell_length_b 7.4758
_cell_length_c 5.4166
_cell_angle_alpha 90.00
_cell_angle_beta 93.76
_cell_angle_gamma 90.00
_space_group_name_H-M_alt 'P 1 2/m 1'
_space_group_IT_number 10
_space_group_name_Hall '-P 2y'
loop_
_atom_site_label
_atom_site_fract_x
_atom_site_fract_y
_atom_site_fract_z
_atom_site_occupancy
Sm1 0.0000 0.0000 0.0000 1
Y1 0.5000 0.2425 0.5000 1
Np1 0.0000 0.5000 0.0000 1
O1 0.0257 0.2805 0.7619 1
O2 0.4586 0.5000 0.2246 1
O3 0.4947 0.0000 0.7438 1
```

=====

Entry from Alexandria via LeMat-Bulk: a relaxed MgSe2Br crystal (GGA-PBE).

* excess energy over the best structure of this formula in the dataset: 491 meV/atom
* ΔE_f (raw): -0.170 eV per atom
* E_tot: -2.729 eV per atom

Geometry as CIF:
```
data_MgSe2Br
_cell_length_a 4.9629
_cell_length_b 9.0726
_cell_length_c 5.0812
_cell_angle_alpha 90.00
_cell_angle_beta 90.00
_cell_angle_gamma 90.00
_space_group_name_H-M_alt 'C m m m'
_space_group_IT_number 65
_space_group_name_Hall '-C 2 2'
loop_
_atom_site_label
_atom_site_fract_x
_atom_site_fract_y
_atom_site_fract_z
_atom_site_occupancy
Mg1 0.0000 0.0000 0.0000 1
Se1 0.2500 0.2500 0.5000 1
Br1 0.0000 0.5000 0.0000 1
```

=====

Entry from Alexandria via LeMat-Bulk: a relaxed MgAl2Au2 crystal (GGA-PBE).

* formation energy: -10.495 kcal/mol of atoms
* E_tot: -3.582 eV per atom

Geometry as CIF:
```
data_MgAl2Au2
_cell_length_a 4.3704
_cell_length_b 4.4721
_cell_length_c 9.4703
_cell_angle_alpha 90.00
_cell_angle_beta 90.00
_cell_angle_gamma 90.00
_space_group_name_H-M_alt 'P m m n'
_space_group_IT_number 59
loop_
_space_group_symop_operation_xyz
'x,y,z'
'-x,-y,-z'
'-x+1/2,-y+1/2,z'
'x+1/2,y+1/2,-z'
'x+1/2,-y,-z'
'-x+1/2,y,z'
'-x,y+1/2,-z'
'x,-y+1/2,z'
loop_
_atom_site_label
_atom_site_fract_x
_atom_site_fract_y
_atom_site_fract_z
_atom_site_occupancy
Mg1 0.2500 0.2500 0.1857 1
Al1 0.2500 0.2500 0.5027 1
Al2 0.2500 0.2500 0.8218 1
Au1 0.2500 0.7500 0.3478 1
Au2 0.2500 0.7500 0.9877 1
```

=====

Entry from Alexandria via LeMat-Bulk: a relaxed SiPRu crystal (GGA-PBE).

* ΔE_f (raw): 0.240 eV per atom
* E_tot: -6.463 eV per atom

Geometry as CIF:
```
data_SiPRu
_cell_length_a 5.6475
_cell_length_b 5.6475
_cell_length_c 5.6475
_cell_angle_alpha 90.00
_cell_angle_beta 90.00
_cell_angle_gamma 90.00
_space_group_name_H-M_alt 'F -4 3 m'
_space_group_IT_number 216
_space_group_name_Hall 'F -4 2 3'
loop_
_atom_site_label
_atom_site_fract_x
_atom_site_fract_y
_atom_site_fract_z
_atom_site_occupancy
Si1 0.0000 0.0000 0.0000 1
P1 0.2500 0.2500 0.2500 1
Ru1 0.2500 0.2500 0.7500 1
```

=====

Entry from Alexandria via LeMat-Bulk: a relaxed Nd8Tl4CS3 crystal (GGA-PBE).

* ΔE_f (raw): -0.957 eV per atom
* E_tot: -5.283 eV per atom

Geometry as CIF:
```
data_Nd8Tl4CS3
_cell_length_a 13.7890
_cell_length_b 7.9737
_cell_length_c 9.3031
_cell_angle_alpha 90.00
_cell_angle_beta 119.54
_cell_angle_gamma 90.00
_space_group_name_H-M_alt 'C 1 2/m 1'
_space_group_IT_number 12
_space_group_name_Hall '-C 2y'
loop_
_atom_site_label
_atom_site_fract_x
_atom_site_fract_y
_atom_site_fract_z
_atom_site_occupancy
Nd1 0.0135 0.2308 0.3091 1
Nd2 0.2176 0.0000 0.6910 1
Nd3 0.2354 0.5000 0.7066 1
Tl1 0.0000 0.0000 0.0000 1
Tl2 0.0000 0.5000 0.0000 1
Tl3 0.2500 0.2500 0.0000 1
C1 0.0000 0.0000 0.5000 1
S1 0.0000 0.5000 0.5000 1
S2 0.2500 0.2500 0.5000 1
```

=====

Entry from Alexandria via LeMat-Bulk: a relaxed LaNd2Sb2 crystal (GGA-PBE).

* ΔE_f (raw): -0.757 eV per atom
* E_tot: -5.299 eV per atom

Geometry as CIF:
```
data_LaNd2Sb2
_cell_length_a 6.5365
_cell_length_b 6.5721
_cell_length_c 14.8864
_cell_angle_alpha 90.00
_cell_angle_beta 90.00
_cell_angle_gamma 90.00
_space_group_name_H-M_alt 'F m m m'
_space_group_IT_number 69
_space_group_name_Hall '-F 2 2'
loop_
_atom_site_label
_atom_site_fract_x
_atom_site_fract_y
_atom_site_fract_z
_atom_site_occupancy
La1 0.0000 0.0000 0.0000 1
Nd1 0.2500 0.2500 0.2500 1
Sb1 0.0000 0.0000 0.3993 1
```

=====

Entry from Alexandria via LeMat-Bulk: a relaxed TiCr4In crystal (GGA-PBE).

* formation energy: 2.185 kcal/mol of atoms
* E_tot: -8.093 eV per atom

Geometry as CIF:
```
data_TiCr4In
_cell_length_a 6.9444
_cell_length_b 6.9444
_cell_length_c 6.9444
_cell_angle_alpha 90.00
_cell_angle_beta 90.00
_cell_angle_gamma 90.00
_space_group_name_H-M_alt 'F -4 3 m'
_space_group_IT_number 216
_space_group_name_Hall 'F -4 2 3'
loop_
_atom_site_label
_atom_site_fract_x
_atom_site_fract_y
_atom_site_fract_z
_atom_site_occupancy
Ti1 0.0000 0.0000 0.0000 1
Cr1 0.1243 0.1243 0.6243 1
In1 0.2500 0.2500 0.2500 1
```

=====

Entry from Alexandria via LeMat-Bulk: a relaxed PmPrTh2Se4 crystal (GGA-PBE).

* ΔE_f (raw): -1.678 eV per atom
* E_tot: -6.466 eV per atom

Geometry as CIF:
```
data_PmPrTh2Se4
_cell_length_a 7.2219
_cell_length_b 4.2381
_cell_length_c 7.3502
_cell_angle_alpha 90.00
_cell_angle_beta 109.62
_cell_angle_gamma 90.00
_space_group_name_H-M_alt 'P 1 2/m 1'
_space_group_IT_number 10
_space_group_name_Hall '-P 2y'
loop_
_atom_site_label
_atom_site_fract_x
_atom_site_fract_y
_atom_site_fract_z
_atom_site_occupancy
Pm1 0.0000 0.0000 0.0000 1
Pr1 0.5000 0.5000 0.0000 1
Th1 0.0000 0.5000 0.5000 1
Th2 0.5000 0.0000 0.5000 1
Se1 0.2474 0.0000 0.7499 1
Se2 0.2470 0.5000 0.2483 1
```

=====

Entry from Alexandria via LeMat-Bulk: a relaxed Ga2Ni9H crystal (GGA-PBE).

* E_tot: -5.136 eV per atom

Geometry as CIF:
```
data_Ga2Ni9H
_cell_length_a 3.5861
_cell_length_b 3.5861
_cell_length_c 10.1561
_cell_angle_alpha 90.00
_cell_angle_beta 90.00
_cell_angle_gamma 90.00
_space_group_name_H-M_alt 'P 4/m m m'
_space_group_IT_number 123
_space_group_name_Hall '-P 4 2'
loop_
_atom_site_label
_atom_site_fract_x
_atom_site_fract_y
_atom_site_fract_z
_atom_site_occupancy
Ga1 0.0000 0.0000 0.1780 1
Ni1 0.0000 0.5000 0.0000 1
Ni2 0.0000 0.5000 0.3525 1
Ni3 0.5000 0.5000 0.1744 1
Ni4 0.5000 0.5000 0.5000 1
H1 0.0000 0.0000 0.5000 1
```

=====

Entry from Alexandria via LeMat-Bulk: a relaxed Ag3Os crystal (GGA-PBE).

* excess energy over the best structure of this formula in the dataset: 422 meV/atom
* formation energy: 18.990 kcal/mol of atoms
* E_tot: -4.122 eV per atom

Geometry as CIF:
```
data_Ag3Os
_cell_length_a 4.7246
_cell_length_b 5.8593
_cell_length_c 4.9253
_cell_angle_alpha 90.00
_cell_angle_beta 90.00
_cell_angle_gamma 90.00
_space_group_name_H-M_alt 'P m m n'
_space_group_IT_number 59
loop_
_space_group_symop_operation_xyz
'x,y,z'
'-x,-y,-z'
'-x+1/2,-y+1/2,z'
'x+1/2,y+1/2,-z'
'x+1/2,-y,-z'
'-x+1/2,y,z'
'-x,y+1/2,-z'
'x,-y+1/2,z'
loop_
_atom_site_label
_atom_site_fract_x
_atom_site_fract_y
_atom_site_fract_z
_atom_site_occupancy
Ag1 0.2500 0.0006 0.1717 1
Ag2 0.2500 0.7500 0.6624 1
Os1 0.2500 0.2500 0.6742 1
```

=====

Entry from Alexandria via LeMat-Bulk: a relaxed Cs4PbO3 crystal (GGA-PBE).

* ΔE_f (raw): -1.136 eV per atom
* E_tot: -3.885 eV per atom

Geometry as CIF:
```
data_Cs4PbO3
_cell_length_a 11.8797
_cell_length_b 7.4528
_cell_length_c 12.2224
_cell_angle_alpha 90.00
_cell_angle_beta 110.62
_cell_angle_gamma 90.00
_space_group_name_H-M_alt 'P 1 21 1'
_space_group_IT_number 4
_space_group_name_Hall 'P 2yb'
loop_
_atom_site_label
_atom_site_fract_x
_atom_site_fract_y
_atom_site_fract_z
_atom_site_occupancy
Cs1 0.0212 0.0000 0.4182 1
Cs2 0.0413 0.2489 0.9365 1
Cs3 0.1602 0.7136 0.8864 1
Cs4 0.1769 0.3999 0.3177 1
Cs5 0.3367 0.6458 0.6579 1
Cs6 0.3695 0.3663 0.1231 1
Cs7 0.4391 0.1642 0.5691 1
Cs8 0.4653 0.8462 0.0983 1
Pb1 0.2216 0.1664 0.7276 1
Pb2 0.2492 0.9013 0.2734 1
O1 0.0924 0.0821 0.1811 1
O2 0.1983 0.2875 0.5525 1
O3 0.2280 0.6910 0.1391 1
O4 0.2688 0.4140 0.8329 1
O5 0.3980 0.0352 0.7713 1
O6 0.4114 0.0517 0.2809 1
```

=====

Entry from Alexandria via LeMat-Bulk: a relaxed Rb2NpCu3F12 crystal (GGA-PBE).

* ΔE_f (raw): -2.385 eV per atom
* E_tot: -5.141 eV per atom

Geometry as CIF:
```
data_Rb2NpCu3F12
_cell_length_a 7.2738
_cell_length_b 7.2738
_cell_length_c 21.5096
_cell_angle_alpha 90.00
_cell_angle_beta 90.00
_cell_angle_gamma 120.00
_space_group_name_H-M_alt 'R -3 m'
_space_group_IT_number 166
_space_group_name_Hall '-R 3 2"'
loop_
_atom_site_label
_atom_site_fract_x
_atom_site_fract_y
_atom_site_fract_z
_atom_site_occupancy
Rb1 0.0000 0.0000 0.0874 1
Np1 0.0000 0.0000 0.5000 1
Cu1 0.0000 0.5000 0.0000 1
F1 0.0515 0.5258 0.1129 1
F2 0.0671 0.5336 0.3465 1
```